NiPbAu2 (PBEsol, relaxed); total energy = -4.400 eV per atom; formation energy = 0.10 eV/atom; space-group type = Immm
1.0
-0.927 -2.592 -1.463
-1.407 -1.647 3.809
-3.482 4.235 -1.975
Au Ni Pb
2 1 1
direct
0.207 0.207 0.415
0.793 0.793 0.585
0.500 0.000 0.000
0.000 0.500 0.000